No. 1
{"formula": "Pr4As2I3", "functional": "PBE", "state": "optimized geometry", "cell": [[3.7717, -2.1776, 0.0000], [3.7717, 2.1776, 0.0000], [-0.0130, 0.0000, 19.3379]], "species": ["Pr", "Pr", "Pr", "Pr", "As", "As", "I", "I", "I"], "fractional_positions": [[0.0005, 0.0005, 0.2839], [0.3336, 0.3336, 0.1215], [0.6664, 0.6664, 0.8785], [0.9995, 0.9995, 0.7161], [0.3329, 0.3329, 0.7998], [0.6671, 0.6671, 0.2002], [0.0000, 0.0000, 0.0000], [0.3341, 0.3341, 0.3921], [0.6659, 0.6659, 0.6079]], "dos_ef_per_ev_atom": 0.37, "e_form_raw_ev_per_atom": -1.42}

=====

No. 2
{"formula": "Pr4AsI5", "functional": "PBE", "state": "optimized geometry", "cell": [[9.8603, -2.1659, 0.0000], [9.8603, 2.1659, 0.0000], [-2.0206, 0.0000, 8.9065]], "species": ["Pr", "Pr", "Pr", "Pr", "As", "I", "I", "I", "I", "I"], "fractional_positions": [[0.9995, 0.9995, 0.2143], [0.0005, 0.0005, 0.7857], [0.3520, 0.3520, 0.9262], [0.6480, 0.6480, 0.0738], [0.5000, 0.5000, 0.0000], [0.1663, 0.1663, 0.3390], [0.1713, 0.1713, 0.8236], [0.5000, 0.5000, 0.5000], [0.8287, 0.8287, 0.1764], [0.8337, 0.8337, 0.6610]], "dos_ef_per_ev_atom": 0.34, "e_form_raw_ev_per_atom": -1.37}

=====

No. 3
{"formula": "Pr2AsI", "functional": "PBE", "state": "optimized geometry", "cell": [[2.1391, 1.2350, 7.9042], [-2.1391, 1.2350, 7.9042], [0.0000, -2.4701, 7.9042]], "species": ["Pr", "Pr", "As", "I"], "fractional_positions": [[0.0000, 0.0000, 0.0000], [0.1990, 0.1990, 0.1990], [0.6008, 0.6008, 0.6008], [0.4322, 0.4322, 0.4322]], "dos_ef_per_ev_atom": 0.29, "e_form_raw_ev_per_atom": -1.32}